[1]
Computed, not measured: an optimized crystal structure of Pr4Y2Er2Tm at the PBE level of DFT.

Geometry as POSCAR:
```
Pr4Y2Er2Tm
1.0
7.675 -2.551 0.000
7.675 2.551 0.000
-2.558 0.000 7.668
Pr Y Er Tm
4 2 2 1
Cartesian
-0.026 0.000 2.542
2.548 0.000 5.111
10.245 0.000 2.557
12.818 0.000 5.126
-0.001 0.000 7.664
12.793 0.000 0.003
5.126 0.000 2.534
7.666 0.000 5.134
7.675 0.000 0.000
```

Values from the calculation:
VASP energy = -0.1855 hartree per atom
formation enthalpy at 0 K = 0.21 eV/f.u.



[2]
Computed, not measured: an optimized crystal structure of RbTl4Hg3 at the PBE level of DFT.

Geometry as POSCAR:
```
RbTl4Hg3
1.0
5.236 0.000 0.000
0.000 5.236 0.000
0.000 0.000 10.077
Rb Tl Hg
1 4 3
Cartesian
0.000 0.000 0.000
0.000 2.618 3.288
0.000 2.618 6.788
2.618 0.000 3.288
2.618 0.000 6.788
0.000 0.000 5.038
2.618 2.618 1.481
2.618 2.618 8.595
```

Values from the calculation:
VASP energy = -0.0552 hartree per atom
formation enthalpy at 0 K = -0.67 eV/f.u.



[3]
Computed, not measured: an optimized crystal structure of CeDy3Zn2 at the PBE level of DFT.

Geometry as POSCAR:
```
CeDy3Zn2
1.0
3.534 0.000 0.000
0.000 3.534 0.000
0.000 0.000 12.125
Ce Dy Zn
1 3 2
Cartesian
0.000 0.000 0.000
1.767 1.767 2.480
1.767 1.767 6.062
1.767 1.767 9.645
0.000 0.000 4.264
0.000 0.000 7.861
```

Values from the calculation:
VASP energy = -0.1438 hartree per atom
formation enthalpy at 0 K = -1.19 eV/f.u.



[4]
Computed, not measured: an optimized crystal structure of LiLaHg2Bi at the PBE level of DFT.

Geometry as POSCAR:
```
LiLaHg2Bi
1.0
4.967 0.000 0.000
0.000 4.967 0.000
0.000 0.000 5.355
Li La Hg Bi
1 1 2 1
Cartesian
0.000 0.000 0.000
2.483 2.483 2.678
0.000 2.483 0.000
2.483 0.000 0.000
0.000 0.000 2.678
```

Values from the calculation:
VASP energy = -0.0976 hartree per atom
formation enthalpy at 0 K = -1.95 eV/f.u.
E above lowest polymorph = 0.00 kcal/mol of atoms



[5]
Computed, not measured: an optimized crystal structure of LiHf2Au4 at the PBE level of DFT.

Geometry as POSCAR:
```
LiHf2Au4
1.0
6.711 0.000 0.000
0.000 9.128 0.000
0.000 0.000 4.640
Li Hf Au
2 4 8
Cartesian
0.000 0.000 0.000
3.356 4.564 0.000
0.000 2.521 2.320
0.000 6.608 2.320
3.356 2.043 2.320
3.356 7.085 2.320
1.437 0.000 2.320
1.678 2.282 0.000
1.678 6.846 0.000
1.918 4.564 2.320
4.793 4.564 2.320
5.034 2.282 0.000
5.034 6.846 0.000
5.274 0.000 2.320
```

Values from the calculation:
VASP energy = -0.1958 hartree per atom
formation enthalpy at 0 K = -2.37 eV/f.u.



[6]
Computed, not measured: an optimized crystal structure of Tm3Ga2Ni6 at the PBE level of DFT.

Geometry as POSCAR:
```
Tm3Ga2Ni6
1.0
-4.416 4.416 4.416
4.416 -4.416 4.416
4.416 4.416 -4.416
Tm Ga Ni
6 4 12
Cartesian
2.573 0.000 0.000
6.260 0.000 0.000
0.000 2.573 0.000
0.000 0.000 2.573
0.000 6.260 0.000
0.000 0.000 6.260
2.208 2.208 -2.208
2.208 -2.208 2.208
-2.208 2.208 2.208
2.208 2.208 2.208
4.416 1.437 -1.437
4.416 -1.437 1.437
4.416 1.437 1.437
1.437 4.416 -1.437
2.979 2.979 0.000
1.437 -1.437 4.416
2.979 0.000 2.979
-1.437 4.416 1.437
1.437 4.416 1.437
-1.437 1.437 4.416
1.437 1.437 4.416
0.000 2.979 2.979
```

Values from the calculation:
VASP energy = -0.2023 hartree per atom
formation enthalpy at 0 K = -6.40 eV/f.u.



[7]
Computed, not measured: an optimized crystal structure of CrRu4Br at the PBE level of DFT.

Geometry as POSCAR:
```
CrRu4Br
1.0
0.000 3.678 3.678
3.678 0.000 3.678
3.678 3.678 0.000
Cr Ru Br
1 4 1
Cartesian
0.000 0.000 0.000
4.602 2.754 2.754
2.754 4.602 2.754
2.754 2.754 4.602
4.602 4.602 4.602
1.839 1.839 1.839
```

Values from the calculation:
VASP energy = -0.2595 hartree per atom



[8]
Computed, not measured: an optimized crystal structure of CsRbSe2Br at the PBE level of DFT.

Geometry as POSCAR:
```
CsRbSe2Br
1.0
6.420 0.000 0.000
0.000 6.420 0.000
0.000 0.000 6.495
Cs Rb Se Br
1 1 2 1
Cartesian
0.000 0.000 0.000
3.210 3.210 3.248
0.000 3.210 3.248
3.210 0.000 3.248
3.210 3.210 0.000
```

Values from the calculation:
VASP energy = -0.0883 hartree per atom
E above lowest polymorph = 0.00 kcal/mol of atoms



[9]
Computed, not measured: an optimized crystal structure of ScTePdI2 at the PBE level of DFT.

Geometry as POSCAR:
```
ScTePdI2
1.0
5.652 0.000 0.000
0.000 5.652 0.000
0.000 0.000 5.633
Sc Te Pd I
1 1 1 2
Cartesian
0.000 0.000 0.000
0.000 0.000 2.817
2.826 2.826 2.817
0.000 2.826 0.000
2.826 0.000 0.000
```

Values from the calculation:
VASP energy = -0.1338 hartree per atom
E above lowest polymorph = 0.00 kcal/mol of atoms



[10]
Computed, not measured: an optimized crystal structure of RePbO6 at the PBE level of DFT.

Geometry as POSCAR:
```
RePbO6
1.0
0.000 4.023 4.023
4.023 0.000 4.023
4.023 4.023 0.000
Re Pb O
1 1 6
Cartesian
0.000 0.000 0.000
4.023 4.023 4.023
4.023 4.023 1.871
4.023 1.871 4.023
6.175 4.023 4.023
1.871 4.023 4.023
4.023 6.175 4.023
4.023 4.023 6.175
```

Values from the calculation:
VASP energy = -0.2425 hartree per atom



[11]
Computed, not measured: an optimized crystal structure of ZnCr2H at the PBE level of DFT.

Geometry as POSCAR:
```
ZnCr2H
1.0
5.074 0.000 0.000
0.000 5.074 0.000
0.000 0.000 7.158
Zn Cr H
4 8 4
Cartesian
0.000 1.269 2.684
0.000 3.806 4.474
2.537 1.269 0.895
2.537 3.806 6.263
0.000 0.000 0.000
0.000 2.537 0.000
1.269 1.269 5.369
1.269 3.806 1.790
2.537 0.000 3.579
2.537 2.537 3.579
3.806 1.269 5.369
3.806 3.806 1.790
0.000 1.269 6.263
0.000 3.806 0.895
2.537 1.269 4.474
2.537 3.806 2.684
```

Values from the calculation:
VASP energy = -0.1979 hartree per atom
E above lowest polymorph = 9.84 kcal/mol of atoms



[12]
Computed, not measured: an optimized crystal structure of Nd8P3HSe4 at the PBE level of DFT.

Geometry as POSCAR:
```
Nd8P3HSe4
1.0
4.146 2.394 6.881
-4.146 2.394 6.881
0.000 -4.788 6.881
Nd P H Se
8 3 1 4
Cartesian
-2.117 -1.222 11.945
0.000 0.000 5.021
0.000 -2.445 8.697
-2.117 1.222 8.697
2.117 -1.222 11.945
0.000 2.445 11.945
0.000 0.000 15.621
2.117 1.222 8.697
-4.146 0.000 10.321
-2.073 1.197 3.440
2.073 1.197 3.440
0.000 0.000 10.321
0.000 0.000 0.000
-2.073 -1.197 6.881
-2.073 1.197 13.761
0.000 2.394 6.881
```

Values from the calculation:
VASP energy = -0.2224 hartree per atom